Arrangement 1

# PBE with a Hubbard U Rb2CoF, optimized geometry
# Density of states at the Fermi level, states/eV per cell: 47.24
data_Rb2CoF
_chemical_formula_sum 'Rb8 Co4 F4'
_cell_length_a 8.0347
_cell_length_b 8.0347
_cell_length_c 8.0347
_cell_angle_alpha 90.00
_cell_angle_beta 90.00
_cell_angle_gamma 90.00
_space_group_name_H-M_alt 'F m -3 m'
_space_group_IT_number 225
_space_group_name_Hall '-F 4 2 3'
loop_
_atom_site_label
_atom_site_fract_x
_atom_site_fract_y
_atom_site_fract_z
Rb1 0.2500 0.2500 0.2500
Co1 0.0000 0.0000 0.0000
F1 0.0000 0.0000 0.5000



Arrangement 2

# PBE with a Hubbard U Rb2CoF, optimized geometry
# Density of states at the Fermi level, states/eV per cell: 31.75
data_Rb2CoF
_chemical_formula_sum 'Rb8 Co4 F4'
_cell_length_a 8.1084
_cell_length_b 8.1084
_cell_length_c 9.4720
_cell_angle_alpha 90.00
_cell_angle_beta 90.00
_cell_angle_gamma 90.00
_space_group_name_H-M_alt 'I -4 2 d'
_space_group_IT_number 122
_space_group_name_Hall 'I -4 2bw'
loop_
_atom_site_label
_atom_site_fract_x
_atom_site_fract_y
_atom_site_fract_z
Rb1 0.1624 0.7500 0.1250
Co1 0.0000 0.0000 0.5000
F1 0.0000 0.0000 0.0000



Preferred: arrangement 2; penalty for the next structure: 146 meV/atom.



Arrangement 1

# PBE with a Hubbard U Rb2CoF7, optimized geometry
# Density of states at the Fermi level, states/eV per cell: 10.24
data_Rb2CoF7
_chemical_formula_sum 'Rb4 Co2 F14'
_cell_length_a 6.3769
_cell_length_b 6.3769
_cell_length_c 8.2432
_cell_angle_alpha 90.00
_cell_angle_beta 90.00
_cell_angle_gamma 90.00
_space_group_name_H-M_alt 'I 4/m m m'
_space_group_IT_number 139
_space_group_name_Hall '-I 4 2'
loop_
_atom_site_label
_atom_site_fract_x
_atom_site_fract_y
_atom_site_fract_z
Rb1 0.0000 0.5000 0.2500
Co1 0.0000 0.0000 0.0000
F1 0.0000 0.0000 0.2244
F2 0.0000 0.0000 0.5000
F3 0.1989 0.1989 0.0000



Arrangement 2

# Rb2CoF7

A relaxed Rb2CoF7 crystal (PBE with a Hubbard U, the Alexandria database).

```
data_Rb2CoF7
_chemical_formula_sum 'Rb8 Co4 F28'
_cell_length_a 14.0613
_cell_length_b 6.0585
_cell_length_c 10.7977
_cell_angle_alpha 90.00
_cell_angle_beta 130.22
_cell_angle_gamma 90.00
_space_group_name_H-M_alt 'C 1 2/c 1'
_space_group_IT_number 15
_space_group_name_Hall '-C 2yc'
loop_
_atom_site_label
_atom_site_fract_x
_atom_site_fract_y
_atom_site_fract_z
Rb1 0.1449 0.2081 0.0555
Co1 0.0000 0.2659 0.2500
F1 0.0000 0.4126 0.7500
F2 0.0733 0.2682 0.4605
F3 0.1002 0.0212 0.2780
F4 0.1544 0.4011 0.3029
```



Preferred: arrangement 1; penalty for the next structure: 45 meV/atom.